Li6NdZn6: optimized geometry, PBE-GGA.

Geometry as extended XYZ:
```
13
Lattice="5.1739 0.0000 0.0000 2.5870 6.5284 -0.1162 2.5870 0.0401 6.5293" Properties=species:S:1:pos:R:3 pbc="T T T"
Zn 3.8805 0.0201 3.2647
Zn 5.1739 1.4360 5.0995
Zn 5.1739 5.1325 1.3136
Zn 1.2935 3.2642 -0.0581
Zn 3.8805 3.2642 -0.0581
Zn 1.2935 0.0201 3.2647
Nd 0.0000 0.0000 0.0000
Li 5.1739 2.3410 2.2856
Li 7.7609 5.1903 5.0676
Li 2.5870 2.2918 4.2230
Li 5.1739 4.2275 4.1275
Li 2.5870 1.3782 1.3456
Li 2.5870 4.2767 2.1901
```

Output
Uncorrected energy: -2.04 eV per atom
Energy relative to the elements: -199 meV/atom
DOS at the Fermi energy: 5.9 states/eV per cell